(1)
4
Lattice="4.292 0.000 0.000 0.000 2.540 4.452 0.000 -2.540 4.452" Properties=species:S:1:pos:R:3 comment="In2AsPt | the Alexandria database | PBE | relaxed" total_energy_ev_per_cell=-17.12 crystal_system=orthorhombic pbc="T T T"
In 0.000 0.000 0.000
In 2.146 0.000 3.528
As 2.146 0.000 6.650
Pt 0.000 0.000 5.330

=====

(2)
16
Lattice="1.980 -6.440 0.000 1.980 6.440 0.000 0.000 0.000 18.673" Properties=species:S:1:pos:R:3 comment="Nd3Sm3Pd2 | the Alexandria database | PBE | relaxed" total_energy_ev_per_cell=-83.04 crystal_system=orthorhombic pbc="T T T"
Nd 1.980 5.713 11.375
Nd 1.980 5.713 16.634
Nd 1.980 1.810 14.005
Nd 1.980 -1.810 4.668
Nd 1.980 -5.713 2.039
Nd 1.980 -5.713 7.298
Sm 1.980 1.932 10.090
Sm 1.980 1.932 17.919
Sm 1.980 1.641 4.668
Sm 1.980 -1.641 14.005
Sm 1.980 -1.932 0.754
Sm 1.980 -1.932 8.583
Pd 1.980 3.357 2.416
Pd 1.980 3.357 6.921
Pd 1.980 -3.357 11.752
Pd 1.980 -3.357 16.257

=====

(3)
8
Lattice="7.343 0.000 0.000 0.000 4.241 0.000 -2.441 0.000 7.009" Properties=species:S:1:pos:R:3 comment="Li2ErScTe4 | the Alexandria database | PBE | relaxed" total_energy_ev_per_cell=-37.08 crystal_system=monoclinic pbc="T T T"
Li 0.000 0.000 0.000
Li 3.671 2.120 0.000
Er -1.221 2.120 3.505
Sc 2.451 0.000 3.505
Te 0.066 0.000 5.268
Te 1.289 2.120 1.781
Te 3.613 2.120 5.229
Te 4.836 0.000 1.741

=====

(4)
5
Lattice="4.520 0.000 0.000 0.000 4.520 0.000 0.000 0.000 4.520" Properties=species:S:1:pos:R:3 comment="YZrF3 | the Alexandria database | PBE | relaxed" total_energy_ev_per_cell=-31.13 crystal_system=cubic pbc="T T T"
Y 0.000 0.000 0.000
Zr 2.260 2.260 2.260
F 0.000 0.000 2.260
F 0.000 2.260 0.000
F 2.260 0.000 0.000

=====

(5)
12
Lattice="2.633 1.520 8.852 -2.633 1.520 8.852 0.000 -3.041 8.852" Properties=species:S:1:pos:R:3 comment="Dy3Zn8Ru | the Alexandria database | PBE | relaxed" total_energy_ev_per_cell=-36.64 crystal_system=trigonal pbc="T T T"
Dy 0.000 0.000 0.000
Dy 0.000 0.000 3.347
Dy 0.000 0.000 16.155
Zn 0.000 -1.528 5.890
Zn -1.323 0.764 5.890
Zn -1.293 -0.747 10.506
Zn 0.000 0.000 8.162
Zn 1.323 0.764 5.890
Zn 1.293 -0.747 10.506
Zn 0.000 1.493 10.506
Zn 0.000 0.000 21.499
Ru 0.000 0.000 13.331

=====

(6)
8
Lattice="7.294 0.000 0.000 0.000 4.242 0.000 -2.468 0.000 6.961" Properties=species:S:1:pos:R:3 comment="Pm4AsSe2Br | the Alexandria database | PBE | relaxed" total_energy_ev_per_cell=-45.15 crystal_system=monoclinic pbc="T T T"
Pm 1.128 0.000 1.533
Pm -0.105 2.121 5.369
Pm 4.930 2.121 1.592
Pm 3.697 0.000 5.428
As 3.647 0.000 0.000
Se -1.234 0.000 3.481
Se 0.000 2.121 0.000
Br 2.413 2.121 3.481

=====

(7)
4
Lattice="3.989 0.000 0.000 0.000 4.146 0.000 0.000 0.000 5.301" Properties=species:S:1:pos:R:3 comment="SrCaMo2 | the Alexandria database | PBE | relaxed" total_energy_ev_per_cell=-21.11 crystal_system=orthorhombic pbc="T T T"
Sr 0.000 0.000 0.000
Ca 1.995 2.073 0.000
Mo 0.000 2.073 2.650
Mo 1.995 0.000 2.650

=====

(8)
8
Lattice="7.671 0.000 0.000 0.000 4.295 0.000 -2.522 0.000 7.616" Properties=species:S:1:pos:R:3 comment="Ac4NiAsCl2 | the Alexandria database | PBE | relaxed" total_energy_ev_per_cell=-40.13 crystal_system=monoclinic pbc="T T T"
Ac 1.086 0.000 1.659
Ac -0.093 2.147 5.709
Ac 5.243 2.147 1.907
Ac 4.063 0.000 5.956
Ni 0.000 2.147 0.000
As -1.261 0.000 3.808
Cl 3.836 0.000 0.000
Cl 2.575 2.147 3.808

=====

(9)
11
Lattice="3.942 -5.675 0.000 3.942 5.675 0.000 -1.524 0.000 5.465" Properties=species:S:1:pos:R:3 comment="Sc8AsSe2 | the Alexandria database | PBE | relaxed" total_energy_ev_per_cell=-69.50 crystal_system=monoclinic pbc="T T T"
Sc 0.000 0.000 0.000
Sc 0.549 1.451 2.963
Sc 2.706 2.576 0.924
Sc 0.549 -1.451 2.963
Sc 3.442 1.468 4.341
Sc 2.706 -2.576 0.924
Sc 3.442 -1.468 4.341
Sc 5.180 0.000 1.788
As 1.292 0.000 5.239
Se 1.999 3.648 3.620
Se 1.999 -3.648 3.620

=====

(10)
18
Lattice="2.886 -10.185 0.000 2.886 10.185 0.000 0.000 0.000 10.691" Properties=species:S:1:pos:R:3 comment="LaPr2Sm5Th | the Alexandria database | PBE | relaxed" total_energy_ev_per_cell=-88.22 crystal_system=orthorhombic pbc="T T T"
La 2.886 8.428 5.345
La 2.886 -8.428 0.000
Pr 2.886 2.367 8.341
Pr 2.886 2.345 3.970
Pr 2.886 -2.345 9.316
Pr 2.886 -2.367 2.996
Sm 2.886 9.778 8.437
Sm 2.886 7.875 0.800
Sm 2.886 6.015 8.089
Sm 2.886 5.638 3.943
Sm 2.886 0.335 0.812
Sm 2.886 -0.335 6.157
Sm 2.886 -5.638 9.289
Sm 2.886 -6.015 2.744
Sm 2.886 -7.875 6.145
Sm 2.886 -9.778 3.091
Th 2.886 4.097 0.688
Th 2.886 -4.097 6.034

=====

(11)
10
Lattice="1.631 -9.321 0.000 1.631 9.321 0.000 0.000 0.000 3.046" Properties=species:S:1:pos:R:3 comment="ScCrB3 | the Alexandria database | PBE | relaxed" total_energy_ev_per_cell=-78.16 crystal_system=orthorhombic pbc="T T T"
Sc 1.631 7.930 2.285
Sc 1.631 -7.930 0.762
Cr 1.631 5.446 0.762
Cr 1.631 -5.446 2.285
B 1.631 3.249 0.762
B 1.631 2.309 2.285
B 1.631 0.449 2.285
B 1.631 -0.449 0.762
B 1.631 -2.309 0.762
B 1.631 -3.249 2.285

=====

(12)
10
Lattice="3.806 -7.641 0.000 3.806 7.641 0.000 0.000 0.000 5.614" Properties=species:S:1:pos:R:3 comment="RbCaSiAs2 | the Alexandria database | PBE | relaxed" total_energy_ev_per_cell=-38.41 crystal_system=orthorhombic pbc="T T T"
Rb 3.806 3.821 4.218
Rb 3.806 -3.821 1.396
Ca 1.903 0.000 0.000
Ca 5.708 0.000 0.000
Si 0.000 0.000 2.807
Si 3.806 0.000 2.807
As 3.806 5.844 1.456
As 3.806 1.797 1.456
As 3.806 -1.797 4.158
As 3.806 -5.844 4.158

=====

(13)
80
Lattice="-7.553 7.553 7.553 7.553 -7.553 7.553 7.553 7.553 -7.553" Properties=species:S:1:pos:R:3 comment="Eu3Al5S12 | the Alexandria database | PBE | relaxed" total_energy_ev_per_cell=-498.93 crystal_system=cubic pbc="T T T"
Eu 3.777 1.888 0.000
Eu 7.553 3.777 -1.888
Eu 1.888 0.000 3.777
Eu 9.442 0.000 3.777
Eu 0.000 3.777 1.888
Eu 3.777 -1.888 7.553
Eu 3.777 9.442 0.000
Eu 7.553 3.777 5.665
Eu -1.888 7.553 3.777
Eu 5.665 7.553 3.777
Eu 0.000 3.777 9.442
Eu 3.777 5.665 7.553
Al 0.000 0.000 0.000
Al 3.777 3.777 -3.777
Al 3.777 -3.777 3.777
Al 7.553 0.000 0.000
Al 11.330 1.888 0.000
Al 7.553 -3.777 5.665
Al 5.665 7.553 -3.777
Al 5.665 0.000 3.777
Al 3.777 5.665 0.000
Al 7.553 3.777 1.888
Al -3.777 3.777 3.777
Al 0.000 7.553 0.000
Al 0.000 0.000 7.553
Al 3.777 3.777 3.777
Al 0.000 3.777 5.665
Al 3.777 1.888 7.553
Al 1.888 7.553 3.777
Al 1.888 0.000 11.330
Al 0.000 11.330 1.888
Al -3.777 5.665 7.553
S 2.231 -0.466 0.850
S 9.099 4.627 -4.242
S 9.785 0.466 0.850
S 9.099 -2.927 4.242
S 7.088 -0.850 2.231
S 11.796 -1.545 2.927
S 0.850 2.231 -0.466
S 10.480 3.311 -1.545
S 4.627 4.242 -1.545
S 6.703 2.231 0.466
S -0.466 0.850 2.231
S 4.242 -1.545 4.627
S 7.088 6.703 -2.231
S 4.242 1.545 2.927
S 4.627 -4.242 9.099
S 6.703 -2.231 7.088
S 2.927 4.242 1.545
S 8.403 5.322 0.466
S 4.242 9.099 -2.927
S 7.088 0.850 5.322
S 2.231 7.088 -0.850
S 9.099 2.927 3.311
S 1.545 2.927 4.242
S 2.231 0.466 6.703
S 5.322 7.088 0.850
S 6.008 4.627 3.311
S -1.545 4.627 4.242
S 5.322 0.466 8.403
S 0.466 6.703 2.231
S 3.311 -1.545 10.480
S -0.850 2.231 7.088
S 4.627 3.311 6.008
S 0.850 9.785 0.466
S 2.927 11.796 -1.545
S 3.311 6.008 4.627
S 0.466 0.850 9.785
S 3.311 9.099 2.927
S 8.019 6.703 5.322
S 0.850 5.322 7.088
S 2.927 3.311 9.099
S -2.927 4.242 9.099
S 6.703 5.322 8.019
S -4.242 9.099 4.627
S 0.466 8.403 5.322
S -1.545 10.480 3.311
S -2.231 7.088 6.703
S -1.545 2.927 11.796
S 5.322 8.019 6.703

=====

(14)
15
Lattice="8.881 -2.843 0.000 8.881 2.843 0.000 -0.690 0.000 12.293" Properties=species:S:1:pos:R:3 comment="Sr3Bi2 | the Alexandria database | PBE | relaxed" total_energy_ev_per_cell=-51.59 crystal_system=monoclinic pbc="T T T"
Sr 0.000 0.000 0.000
Sr -0.149 0.000 4.038
Sr 5.586 0.000 4.166
Sr 5.471 0.000 8.202
Sr 5.320 0.000 12.237
Sr 11.752 0.000 0.056
Sr 11.600 0.000 4.091
Sr 11.486 0.000 8.128
Sr 17.220 0.000 8.255
Bi 2.347 0.000 6.321
Bi 3.111 0.000 1.865
Bi 8.485 0.000 2.234
Bi 8.587 0.000 10.059
Bi 13.960 0.000 10.428
Bi 14.725 0.000 5.972

=====

(15)
4
Lattice="0.000 3.309 3.309 3.309 0.000 3.309 3.309 3.309 0.000" Properties=species:S:1:pos:R:3 comment="TcHg2Pd | the Alexandria database | PBE | relaxed" total_energy_ev_per_cell=-14.51 crystal_system=cubic pbc="T T T"
Tc 0.000 0.000 0.000
Hg 1.654 1.654 1.654
Hg 4.963 4.963 4.963
Pd 3.309 3.309 3.309

=====

(16)
29
Lattice="-4.497 4.497 4.497 4.497 -4.497 4.497 4.497 4.497 -4.497" Properties=species:S:1:pos:R:3 comment="Dy4Ti6O19 | the Alexandria database | PBE | relaxed" total_energy_ev_per_cell=-246.96 crystal_system=cubic pbc="T T T"
Dy 3.163 3.163 -3.163
Dy 3.163 -3.163 3.163
Dy 1.334 1.334 1.334
Dy -3.163 3.163 3.163
Ti 4.497 0.000 1.445
Ti 4.497 3.052 0.000
Ti 1.445 4.497 0.000
Ti 3.052 0.000 4.497
Ti 0.000 1.445 4.497
Ti 0.000 4.497 3.052
O 0.000 0.000 0.000
O 3.161 0.000 0.000
O 5.833 0.000 0.000
O 4.158 1.924 -1.586
O 6.083 -0.340 2.573
O 1.924 -1.586 4.158
O 2.911 0.340 2.573
O 0.000 3.161 0.000
O 0.000 0.000 3.161
O 2.573 2.911 0.340
O 4.837 1.924 1.586
O 0.340 2.573 2.911
O 2.573 6.083 -0.340
O 0.000 5.833 0.000
O 0.000 0.000 5.833
O -1.586 4.158 1.924
O 1.924 1.586 4.837
O 1.586 4.837 1.924
O -0.340 2.573 6.083

=====

(17)
4
Lattice="0.000 3.306 3.306 3.306 0.000 3.306 3.306 3.306 0.000" Properties=species:S:1:pos:R:3 comment="UPaCuRh | the Alexandria database | PBE | relaxed" total_energy_ev_per_cell=-33.30 crystal_system=cubic pbc="T T T"
U 0.000 0.000 0.000
Pa 1.653 1.653 1.653
Cu 3.306 3.306 3.306
Rh 4.959 4.959 4.959

=====

(18)
4
Lattice="2.643 0.000 0.000 -1.322 2.289 0.000 0.000 0.000 8.396" Properties=species:S:1:pos:R:3 comment="Fe3Pt | the Alexandria database | PBE | relaxed" total_energy_ev_per_cell=-31.00 crystal_system=hexagonal pbc="T T T"
Fe 0.000 0.000 0.000
Fe 1.322 0.763 1.982
Fe 1.322 0.763 6.414
Pt 0.000 0.000 4.198

=====

(19)
10
Lattice="7.326 0.000 0.000 0.000 7.326 0.000 0.000 0.000 2.911" Properties=species:S:1:pos:R:3 comment="ZnAs2Ru2 | the Alexandria database | PBE | relaxed" total_energy_ev_per_cell=-57.37 crystal_system=tetragonal pbc="T T T"
Zn 0.000 0.000 0.000
Zn 3.663 3.663 0.000
As 1.073 2.590 0.000
As 2.590 6.252 0.000
As 4.736 1.073 0.000
As 6.252 4.736 0.000
Ru 1.066 4.729 1.456
Ru 2.597 1.066 1.456
Ru 4.729 6.259 1.456
Ru 6.259 2.597 1.456